A crystal of MnP2PbCl relaxed with PBEsol, computed with meta-GGA SCAN.

Computed properties:
SG ... P4/mmm
Calculated density ... 6.17 Mg/m³
E_tot ... -24.546 eV per atom

Cell and atoms, written as POSCAR:
```
MnP2PbCl
1.0
4.3358 0.0000 0.0000
0.0000 4.3358 0.0000
0.0000 0.0000 5.1465
Mn P Pb Cl
1 2 1 1
Cartesian
0.0000 0.0000 0.0000
0.0000 2.1679 0.0000
2.1679 0.0000 0.0000
2.1679 2.1679 2.5732
0.0000 0.0000 2.5732
```

---

A crystal of SbIO2F8 relaxed with PBEsol, computed with meta-GGA SCAN.

Computed properties:
SG ... P2_1/c
Calculated density ... 3.97 Mg/m³
E_tot ... -11.185 eV per atom

Cell and atoms, written as POSCAR:
```
SbIO2F8
1.0
5.8054 0.0000 0.0000
0.0000 10.0172 0.0000
-2.6535 0.0000 12.4332
Sb I O F
4 4 8 32
Cartesian
-0.0169 2.4779 0.1266
-1.3436 2.5307 6.3432
4.4955 7.4865 6.0900
3.1688 7.5393 12.3066
1.0963 5.1107 2.2679
-0.2304 9.9151 8.4845
3.3823 0.1021 3.9487
2.0556 4.9065 10.1653
0.1352 6.5568 1.6884
-1.1916 8.4690 7.9051
-0.2766 0.8570 6.9321
1.0502 4.1516 0.7155
2.1017 5.8656 11.7178
3.4285 9.1602 5.5011
4.3435 1.5482 4.5282
3.0167 3.4604 10.7448
-1.7459 0.6548 9.2146
-0.4191 4.3538 2.9980
0.2554 1.7141 1.8253
-1.0713 3.2945 8.0419
-0.3614 6.0410 6.8190
0.9653 8.9848 0.6024
-1.0555 6.6574 11.7651
0.2713 8.3684 5.5485
-1.0247 1.8970 11.8615
0.3021 3.1116 5.6449
1.2920 5.9875 3.8767
-0.0348 9.0384 10.0933
1.7492 0.8151 4.4173
0.4225 4.1935 10.6339
0.7215 1.2427 9.3169
2.0482 3.7659 3.1003
1.1037 6.2514 9.3330
2.4304 8.7745 3.1163
2.7294 5.8237 1.7993
1.4027 9.2022 8.0159
3.1867 0.9788 2.3399
1.8599 4.0298 8.5565
2.8498 6.9056 6.7884
4.1766 8.1202 0.5718
2.8806 1.6488 6.8848
4.2074 3.3598 0.6682
2.1866 1.0324 11.8308
3.5133 3.9762 5.6142
4.2232 6.7227 4.3914
2.8965 8.3032 10.6080
3.5710 5.6634 9.4352
4.8978 9.3625 3.2186
```